# 1
This record from the Alexandria database describes a geometry-optimized Ca4YAl structure. The functional is GGA-PBE.

Properties
E = -15.74 eV per cell
space group = F-43m
energy relative to the elements = 0.4128 eV/atom
total magnetic moment = 1.46 μB per cell

Cell lengths 6.7014, 6.7014, 6.7014 Å; angles 60.00, 60.00, 60.00 degrees
With the nearest neighbours (Å) after each atom.
Atoms (fractional coordinates):
Ca 0.1250 0.1250 0.1250  6 Ca 3.35
Ca 0.1250 0.1250 0.6251  6 Ca 3.35
Ca 0.1250 0.6251 0.1250  6 Ca 3.35
Ca 0.6251 0.1250 0.1250  6 Ca 3.35
Y 0.7500 0.7500 0.7500  12 Ca 3.93, 4 Al 4.10
Al 0.5000 0.5000 0.5000  12 Ca 3.93, 4 Y 4.10



# 2
This record from the Alexandria database describes a geometry-optimized CaY3Al structure. The functional is GGA-PBE.

Properties
E = -24.16 eV per cell
space group = Pm-3m
energy relative to the elements = 0.1962 eV/atom
energy above the most stable polymorph in this dataset = 0.0 meV/atom
total magnetic moment = 1.76 μB per cell

Cell lengths 5.6591, 5.6591, 5.6591 Å; angles 90.00, 90.00, 90.00 degrees
With the nearest neighbours (Å) after each atom.
Atoms (fractional coordinates):
Ca 0.0000 0.0000 0.0000  12 Y 4.00
Y 0.0000 0.5000 0.5000  2 Al 2.83
Y 0.5000 0.0000 0.5000  2 Al 2.83
Y 0.5000 0.5000 0.0000  2 Al 2.83
Al 0.5000 0.5000 0.5000  6 Y 2.83



# 3
This record from the Alexandria database describes a geometry-optimized CaYAl2 structure. The functional is GGA-PBE.

Properties
E = -15.96 eV per cell
space group = Pmm2
energy relative to the elements = -0.0030 eV/atom
total magnetic moment = 0.00 μB per cell

Cell lengths 3.4888, 4.5217, 6.4738 Å; angles 90.00, 90.00, 90.00 degrees
With the nearest neighbours (Å) after each atom.
Atoms (fractional coordinates):
Ca 0.0000 0.0000 0.0000  6 Al 3.09-3.38
Y 0.5000 0.5000 0.3171  5 Al 2.98-3.15
Al 0.0000 0.0000 0.5219  2 Ca 3.09-3.38, 4 Y 3.15, 4 Al 3.30
Al 0.5000 0.5000 0.7771  1 Y 2.98, 4 Ca 3.20, 4 Al 3.30



# 4
This record from the Alexandria database describes a geometry-optimized CaY3Al8 structure. The functional is GGA-PBE.

Properties
E = -57.00 eV per cell
space group = R3m
energy relative to the elements = -0.4724 eV/atom
total magnetic moment = 0.00 μB per cell

Cell lengths 9.6982, 9.6982, 9.6982 Å; angles 33.47, 33.47, 33.47 degrees
With the nearest neighbours (Å) after each atom.
Atoms (fractional coordinates):
Ca 0.0000 0.0000 0.0000  12 Al 3.28-3.31, 4 Y 3.40-3.42
Y 0.1239 0.1239 0.1239  12 Al 3.25-3.28, 1 Ca 3.40, 3 Y 3.43
Y 0.4997 0.4997 0.4997  12 Al 3.25-3.28, 4 Y 3.43-3.44
Y 0.6251 0.6251 0.6251  12 Al 3.27-3.30, 3 Ca 3.42, 1 Y 3.44
Al 0.0620 0.0620 0.5599  6 Al 2.78-2.82
Al 0.0620 0.5599 0.0620  6 Al 2.78-2.82
Al 0.0644 0.5628 0.5628  6 Al 2.77-2.82
Al 0.3123 0.3123 0.3123  6 Al 2.82
Al 0.5599 0.0620 0.0620  6 Al 2.78-2.82
Al 0.5628 0.0644 0.5628  6 Al 2.77-2.82
Al 0.5628 0.5628 0.0644  6 Al 2.77-2.82
Al 0.8121 0.8121 0.8121  6 Al 2.77-2.78



# 5
This record from the Alexandria database describes a geometry-optimized CaYAl2 structure. The functional is GGA-PBE.

Properties
E = -16.87 eV per cell
space group = Imm2
energy relative to the elements = -0.2287 eV/atom
total magnetic moment = 0.00 μB per cell

Cell lengths 6.2088, 6.2088, 6.2088 Å; angles 145.80, 132.04, 60.21 degrees
With the nearest neighbours (Å) after each atom.
Atoms (fractional coordinates):
Ca 0.0000 0.0000 0.0000  6 Al 3.16-3.41, 4 Y 3.45-3.52
Y 0.2807 0.7807 0.5000  6 Al 3.16-3.41, 4 Ca 3.45-3.52
Al 0.5485 0.5485 0.0000  2 Al 2.68
Al 0.7317 0.2317 0.5000  2 Al 2.68



# 6
This record from the Alexandria database describes a geometry-optimized CaYAl2 structure. The functional is GGA-PBE.

Properties
E = -16.51 eV per cell
space group = P4mm
energy relative to the elements = -0.1400 eV/atom
total magnetic moment = 0.00 μB per cell

Cell lengths 3.4478, 3.4478, 8.5630 Å; angles 90.00, 90.00, 90.00 degrees
With the nearest neighbours (Å) after each atom.
Atoms (fractional coordinates):
Ca 0.0000 0.0000 0.0000  5 Al 3.29-3.56, 4 Ca 3.45
Y 0.5000 0.5000 0.3532  5 Al 3.14-3.33, 4 Y 3.45
Al 0.0000 0.0000 0.5848  4 Al 2.79
Al 0.5000 0.5000 0.7421  4 Al 2.79



energy relative to the elements of number 3 (CaYAl2)?
-0.0030 eV/atom



Among the records above, which one has the highest energy relative to the elements?
Ca4YAl